Below is a relaxed ReMoAs4 crystal, with properties calculated at the GGA-PBE level.

As for the crystal system: cubic. The total energy comes out at -5.8264 eV/atom.

The space group is F-43m (No. 216) and the conventional cell measures 7.453, 7.453 and 7.453 Å, with angles of 90.00, 90.00 and 90.00 degrees. The distinct sites, in fractional coordinates, are Re at (0.000, 0.000, 0.000), Mo at (0.250, 0.250, 0.250) and As at (0.125, 0.125, 0.625).